A relaxed VPO5 crystal. Source: Alexandria via LeMat-Bulk, functional PBEsol.

- calculated total energy (eV per atom) = -8.19
- ΔE to the lowest computed polymorph (meV/atom) = 20
- symmetry = No. 129
- density (g/cm³) = 3.3
- size of the total moment (μB per atom) = 0.000
- ΔE_f (raw) (eV/atom) = -2.232

a b c (Å): 4.2921 6.1901 6.1901
angles (deg): 90.00 90.00 90.00
Atoms (fractional coordinates):
V1 0.3793 0.5000 0.0000
V2 0.6207 0.0000 0.5000
P1 0.5000 0.0000 0.0000
P2 0.5000 0.5000 0.5000
O1 0.7108 0.7021 0.5000
O2 0.7108 0.0000 0.7979
O3 0.2523 0.0000 0.5000
O4 0.7477 0.5000 0.0000
O5 0.7108 0.0000 0.2021
O6 0.7108 0.2979 0.5000
O7 0.2892 0.2021 0.0000
O8 0.2892 0.5000 0.2979
O9 0.2892 0.5000 0.7021
O10 0.2892 0.7979 0.0000